{"formula": "Cr2P3O12", "functional": "GGA+U", "state": "optimized geometry", "total_energy_ev_per_atom": -7.17, "m_tot_mub_per_cell": 5.955, "spacegroup": "No. 167", "lattice": [[-0.5714, -0.8856, 8.6371], [6.8471, -2.5902, 4.7029], [4.1015, 5.5004, 5.3509]], "species": ["P", "O", "O", "O", "O", "O", "P", "O", "O", "O", "O", "O", "O", "O", "O", "O", "Cr", "O", "Cr", "Cr", "P", "O", "Cr", "O", "P", "O", "O", "O", "O", "O", "P", "O", "P", "O"], "fractional_positions": [[0.0352, 0.4648, 0.7500], [0.7102, 0.8682, 0.4936], [0.1318, 0.5064, 0.2898], [0.5809, 0.2231, 0.4366], [0.6318, 0.7898, 0.0064], [0.2769, 0.9191, 0.0634], [0.2500, 0.9648, 0.5352], [0.7898, 0.0064, 0.6318], [0.0064, 0.6318, 0.7898], [0.0809, 0.9366, 0.7231], [0.5064, 0.2898, 0.1318], [0.4191, 0.7769, 0.5634], [0.4366, 0.5809, 0.2231], [0.8682, 0.4936, 0.7102], [0.3682, 0.2102, 0.9936], [0.7769, 0.5634, 0.4191], [0.1412, 0.1412, 0.1412], [0.9191, 0.0634, 0.2769], [0.3588, 0.3588, 0.3588], [0.6412, 0.6412, 0.6412], [0.9648, 0.5352, 0.2500], [0.2231, 0.4366, 0.5809], [0.8588, 0.8588, 0.8588], [0.9936, 0.3682, 0.2102], [0.4648, 0.7500, 0.0352], [0.9366, 0.7231, 0.0809], [0.4936, 0.7102, 0.8682], [0.2102, 0.9936, 0.3682], [0.5634, 0.4191, 0.7769], [0.7231, 0.0809, 0.9366], [0.7500, 0.0352, 0.4648], [0.2898, 0.1318, 0.5064], [0.5352, 0.2500, 0.9648], [0.0634, 0.2769, 0.9191]]}